[1]
# Ni2PbSe (PBE, relaxed)
# Offset from the most stable computed form   3.9 meV per atom
# Total DFT energy (no corrections)   -37.8 eV per cell
data_Ni2PbSe
_chemical_formula_sum 'Ni4 Pb2 Se2'
_space_group_name_H-M_alt 'A m m 2'
_space_group_IT_number 38
_cell_length_a 3.5931
_cell_length_b 3.3085
_cell_length_c 12.0048
_cell_angle_alpha 90.00
_cell_angle_beta 90.00
_cell_angle_gamma 90.00
loop_
_space_group_symop_operation_xyz
'x,y,z'
'-x,-y,z'
'-x,y,z'
'x,-y,z'
'x,y+1/2,z+1/2'
'-x,-y+1/2,z+1/2'
'-x,y+1/2,z+1/2'
'x,-y+1/2,z+1/2'
loop_
_atom_site_label
_atom_site_fract_x
_atom_site_fract_y
_atom_site_fract_z
Ni1 0.0000 0.0000 0.0000
Ni2 0.5000 0.0000 0.1537
Pb1 0.0000 0.0000 0.7716
Se1 0.5000 0.0000 0.5081

---

[2]
# Ni3PbSe (PBE, relaxed)
# Offset from the most stable computed form   1037.4 meV per atom
# Total DFT energy (no corrections)   -18.3 eV per cell
data_Ni3PbSe
_chemical_formula_sum 'Ni3 Pb1 Se1'
_space_group_name_H-M_alt 'P m -3 m'
_space_group_IT_number 221
_space_group_name_Hall '-P 4 2 3'
_cell_length_a 4.7737
_cell_length_b 4.7737
_cell_length_c 4.7737
_cell_angle_alpha 90.00
_cell_angle_beta 90.00
_cell_angle_gamma 90.00
loop_
_atom_site_label
_atom_site_fract_x
_atom_site_fract_y
_atom_site_fract_z
Ni1 0.0000 0.0000 0.5000
Pb1 0.0000 0.0000 0.0000
Se1 0.5000 0.5000 0.5000

---

[3]
# NiPbSe2 (PBE, relaxed)
# Total DFT energy (no corrections)   -30.7 eV per cell
data_NiPbSe2
_chemical_formula_sum 'Ni2 Pb2 Se4'
_space_group_name_H-M_alt 'C m m m'
_space_group_IT_number 65
_space_group_name_Hall '-C 2 2'
_cell_length_a 6.9992
_cell_length_b 7.0085
_cell_length_c 3.4977
_cell_angle_alpha 90.00
_cell_angle_beta 90.00
_cell_angle_gamma 90.00
loop_
_atom_site_label
_atom_site_fract_x
_atom_site_fract_y
_atom_site_fract_z
Ni1 0.0000 0.0000 0.0000
Pb1 0.0000 0.5000 0.0000
Se1 0.2500 0.2500 0.5000

---

[4]
# Ni2PbSe (PBE, relaxed)
# Offset from the most stable computed form   27.9 meV per atom
# Total DFT energy (no corrections)   -75.1 eV per cell
data_Ni2PbSe
_chemical_formula_sum 'Ni8 Pb4 Se4'
_space_group_name_H-M_alt 'I -4 2 d'
_space_group_IT_number 122
_space_group_name_Hall 'I -4 2bw'
_cell_length_a 4.7194
_cell_length_b 4.7194
_cell_length_c 14.4954
_cell_angle_alpha 90.00
_cell_angle_beta 90.00
_cell_angle_gamma 90.00
loop_
_atom_site_label
_atom_site_fract_x
_atom_site_fract_y
_atom_site_fract_z
Ni1 0.1326 0.2500 0.1250
Pb1 0.0000 0.0000 0.5000
Se1 0.0000 0.0000 0.0000

---

no.,theoretical density (g/cm³),ΔE_f (raw) (eV per atom),total moment (μB/f.u.)
1,9.39,-0.03,0.00
2,7.06,1.24,0.00
3,8.20,0.27,0.00
4,8.30,-0.01,0.00